VASP calculation (GGA+U) on a relaxed structure of CsZr2WO8.

abc: 5.2480 5.2480 7.7527
angles: 101.50 101.50 75.87
Atoms (fractional coordinates):
Cs1 0.0000 0.0000 0.0000
Zr1 0.4497 0.4497 0.7524
Zr2 0.5503 0.5503 0.2476
W1 0.0000 0.0000 0.5000
O1 0.2031 0.7671 0.3204
O2 0.2329 0.7969 0.6796
O3 0.2393 0.2393 0.5538
O4 0.3638 0.3638 0.9788
O5 0.6362 0.6362 0.0212
O6 0.7607 0.7607 0.4462
O7 0.7671 0.2031 0.3204
O8 0.7969 0.2329 0.6796

## Properties
- space-group type = C2/m
- total moment (Bohr magnetons per cell) = 1.01
- calculated total energy (eV for the cell shown) = -93.131